No. 1
# Ag2Hg

A relaxed structure of Ag2Hg (PBE, the Alexandria database).

The structure in POSCAR format:
```
Ag2Hg
1.0
-1.474 1.474 13.983
1.474 -1.474 13.983
1.474 1.474 -13.983
Ag Hg
4 2
Direct
0.168 0.668 0.500
0.332 0.832 0.500
0.582 0.582 0.000
0.418 0.418 0.000
0.750 0.250 0.500
0.000 0.000 0.000
```

Its uncorrected energy is -1.858 eV/atom. Its space group is No. 141. Its formation energy is 0.14 eV/atom. For the offset from the most stable computed form, the calculation gives 8.9 kJ per mole of atoms. Its spin magnetization is 0.0 μB per formula unit.

=====

No. 2
# Pm2Tl2TcO6

A relaxed structure of Pm2Tl2TcO6 (PBE, the Alexandria database).

The structure in POSCAR format:
```
Pm2Tl2TcO6
1.0
5.967 -0.007 0.123
-2.955 5.184 0.123
-0.998 -1.716 6.469
O Tl Pm Tc
6 2 2 1
Direct
0.653 0.955 0.338
0.045 0.347 0.662
0.242 0.242 0.325
0.955 0.653 0.338
0.347 0.045 0.662
0.758 0.758 0.675
0.840 0.160 0.000
0.160 0.840 0.000
0.335 0.665 0.500
0.665 0.335 0.500
0.000 0.000 0.500
```

Its uncorrected energy is -6.902 eV/atom. Its space group is No. 12. For the formation energy from raw total energies, the calculation gives -1961.3 meV per atom. Its spin magnetization is 3.0 μB per formula unit.

=====

No. 3
# TaTcHIr2

A relaxed structure of TaTcHIr2 (PBE, the Alexandria database).

The structure in POSCAR format:
```
TaTcHIr2
1.0
3.917 0.000 0.000
0.000 3.917 0.000
0.000 0.000 4.111
Ir Tc H Ta
2 1 1 1
Direct
0.000 0.500 0.000
0.500 0.000 0.000
0.500 0.500 0.500
0.000 0.000 0.000
0.000 0.000 0.500
```

Its uncorrected energy is -8.944 eV/atom. Its space group is No. 123. For the offset from the most stable computed form, the calculation gives 7.2 kJ per mole of atoms. Its spin magnetization is 0.0 μB per formula unit.

=====

No. 4
# SmThSn2

A relaxed structure of SmThSn2 (PBE, the Alexandria database).

The structure in POSCAR format:
```
SmThSn2
1.0
-3.342 -2.128 -2.207
-2.054 -0.819 3.900
-1.243 6.126 0.631
Th Sn Sm
1 2 1
Direct
0.718 0.000 0.975
0.991 0.000 0.520
0.175 0.500 0.890
0.447 0.500 0.433
```

Its uncorrected energy is -5.691 eV/atom. Its space group is No. 38. Its formation energy is -0.65 eV/atom. For the offset from the most stable computed form, the calculation gives 0.0 kJ per mole of atoms. Its spin magnetization is 0.0 μB per formula unit.

=====

No. 5
# LaSm2YS4

A relaxed structure of LaSm2YS4 (PBE, the Alexandria database).

The structure in POSCAR format:
```
LaSm2YS4
1.0
-3.461 0.304 -1.968
-3.416 -2.421 5.634
0.393 6.942 0.381
Y S Sm La
1 4 2 1
Direct
0.500 0.500 0.000
0.500 0.260 0.254
0.000 0.740 0.247
0.500 0.740 0.746
0.000 0.260 0.753
0.000 0.500 0.500
0.500 0.000 0.500
0.000 0.000 0.000
```

Its uncorrected energy is -6.712 eV/atom. Its space group is No. 10. For the formation energy from raw total energies, the calculation gives -2044.8 meV per atom. Its spin magnetization is 0.0 μB per formula unit.

=====

No. 6
# Zr2FeC4

A relaxed structure of Zr2FeC4 (PBE, the Alexandria database).

The structure in POSCAR format:
```
Zr2FeC4
1.0
-0.165 2.167 -2.798
-3.514 0.230 0.385
-1.103 6.135 2.572
Zr C Fe
2 4 1
Direct
0.657 0.657 0.686
0.343 0.343 0.314
0.171 0.171 0.658
0.500 0.000 0.000
0.829 0.829 0.342
0.000 0.500 0.000
0.000 0.000 0.000
```

Its uncorrected energy is -8.454 eV/atom. Its space group is No. 139. Its formation energy is 0.47 eV/atom. Its spin magnetization is 0.0 μB per formula unit.

=====

No. 7
# HoGa2Co2Si

A relaxed structure of HoGa2Co2Si (PBE, the Alexandria database).

The structure in POSCAR format:
```
HoGa2Co2Si
1.0
-3.968 1.470 -0.133
-0.395 -0.690 4.159
1.845 5.071 1.017
Ga Co Si Ho
2 2 1 1
Direct
0.500 0.500 0.263
0.500 0.500 0.737
0.500 0.000 0.000
0.000 0.500 0.000
0.000 0.000 0.000
0.000 0.000 0.500
```

Its uncorrected energy is -5.374 eV/atom. Its space group is No. 123. For the formation energy from raw total energies, the calculation gives -330.1 meV per atom. Its spin magnetization is 1.2 μB per formula unit.

=====

No. 8
# FeCuHg2

A relaxed structure of FeCuHg2 (PBE, the Alexandria database).

The structure in POSCAR format:
```
FeCuHg2
1.0
-0.891 1.510 2.390
-2.652 0.427 -1.254
-2.631 -6.729 3.270
Hg Cu Fe
2 1 1
Direct
0.000 0.000 0.962
0.500 0.500 0.291
0.000 0.000 0.531
0.500 0.500 0.716
```

Its uncorrected energy is -2.974 eV/atom. Its space group is No. 99. Its formation energy is 0.32 eV/atom. For the offset from the most stable computed form, the calculation gives 0.0 kJ per mole of atoms. Its spin magnetization is 2.8 μB per formula unit.

=====

spin magnetization of number 7 (HoGa2Co2Si)?
1.2 μB per formula unit

=====

What is the uncorrected energy in the fourth record?
-5.691 eV/atom

=====

The highest spin magnetization belongs to which entry?
Pm2Tl2TcO6

=====

What did the second record say?
# Pm2Tl2TcO6

A relaxed structure of Pm2Tl2TcO6 (PBE, the Alexandria database).

The structure in POSCAR format:
```
Pm2Tl2TcO6
1.0
5.967 -0.007 0.123
-2.955 5.184 0.123
-0.998 -1.716 6.469
O Tl Pm Tc
6 2 2 1
Direct
0.653 0.955 0.338
0.045 0.347 0.662
0.242 0.242 0.325
0.955 0.653 0.338
0.347 0.045 0.662
0.758 0.758 0.675
0.840 0.160 0.000
0.160 0.840 0.000
0.335 0.665 0.500
0.665 0.335 0.500
0.000 0.000 0.500
```

Its uncorrected energy is -6.902 eV/atom. Its space group is No. 12. For the formation energy from raw total energies, the calculation gives -1961.3 meV per atom. Its spin magnetization is 3.0 μB per formula unit.